Tb3Sm2Sc3 (PBE, relaxed); calculated total energy = -42.06 eV for the cell shown; volume = 234.95 Å³ per cell; E_form = 32 meV per atom
1.0
11.563 -1.751 0.000
11.563 1.751 0.000
-1.526 0.000 5.803
Tb Sm Sc
3 2 3
Cartesian
0.000 0.000 0.000
2.123 0.000 2.686
19.478 0.000 3.117
5.325 0.000 1.403
16.276 0.000 4.400
8.669 0.000 0.257
10.800 0.000 2.901
12.931 0.000 5.546